# YScBe4

Crystalline YScBe4 at its relaxed geometry (PBE-GGA, the Alexandria database).

Cell lengths 4.9198, 4.9198, 4.9198 Å; angles 60.00, 60.00, 60.00 degrees
Last column: nearest neighbours and their distance in Å.
Fractional coordinates of all 6 atoms:
Y  0.0000  0.0000  0.0000  12 Be 2.89, 4 Sc 3.01
Sc  0.2500  0.2500  0.2500  12 Be 2.88, 4 Y 3.01
Be  0.1310  0.6230  0.6230  6 Be 2.42-2.50
Be  0.6230  0.1310  0.6230  6 Be 2.42-2.50
Be  0.6230  0.6230  0.1310  6 Be 2.42-2.50
Be  0.6230  0.6230  0.6230  6 Be 2.42-2.50

Summary:
Calculated formation energy, meV/atom: 21
Size of the total moment, μB/f.u.: 0.000
V, Å³ per atom: 14.03
Space-group type: No. 216
Calculated density, g cm⁻³: 3.4
E, eV per cell: -27.6
N(E_F), states/eV/cell: 3.9